Entry 1:
Entry from Alexandria via LeMat-Bulk: an optimized crystal structure of HoGa6Ru4 (PBE-GGA).

Summary:
Space group ... I-42m
Calculated total energy ... -62.1 eV/cell
DOS(E_F) ... 9.1 states/eV/f.u.

a = 6.5986 Å, b = 6.5986 Å, c = 6.5986 Å
α = 88.64°, β = 120.79°, γ = 120.79°
Last column: nearest neighbours and their distance in Å.
Fractional coordinates of all 11 atoms:
Ga: 0.3688 0.4764 0.4764  3 Ru 2.42-2.59
Ga: 0.0000 0.5236 0.8924  3 Ru 2.42-2.59
Ga: 0.6312 0.1076 0.1076  3 Ru 2.42-2.59
Ga: 0.0000 0.8924 0.5236  3 Ru 2.42-2.59
Ga: 0.5000 0.5000 0.0000  4 Ru 2.55
Ho: 0.0000 0.0000 0.0000  4 Ru 3.17, 12 Ga 3.24-3.51
Ru: 0.3339 0.7481 0.7481  5 Ga 2.42-2.59, 2 Ru 2.66
Ru: 0.0000 0.2519 0.5858  5 Ga 2.42-2.59, 2 Ru 2.66
Ru: 0.0000 0.5858 0.2519  5 Ga 2.42-2.59, 2 Ru 2.66
Ga: 0.5000 0.0000 0.5000  4 Ru 2.55
Ru: 0.6661 0.4142 0.4142  5 Ga 2.42-2.59, 2 Ru 2.66

***

Entry 2:
Entry from Alexandria via LeMat-Bulk: an optimized crystal structure of Sr2AgHAu (PBE-GGA).

Summary:
Polymorph energy (0 for the lowest one) ... 0.0 meV/atom
Space group ... P4/mmm
Calculated total energy ... -15.0 eV/cell
DOS(E_F) ... 3.3 states/eV/f.u.

a = 5.3623 Å, b = 5.3623 Å, c = 4.0280 Å
α = 90.00°, β = 90.00°, γ = 90.00°
Last column: nearest neighbours and their distance in Å.
Fractional coordinates of all 5 atoms:
Ag: 0.0000 0.0000 0.5000  2 H 2.01
Sr: 0.0000 0.5000 0.0000  2 H 2.68
Sr: 0.5000 0.0000 0.0000  2 H 2.68
Au: 0.5000 0.5000 0.5000  8 Sr 3.35
H: 0.0000 0.0000 0.0000  2 Ag 2.01

***

Entry 3:
Entry from Alexandria via LeMat-Bulk: an optimized crystal structure of Nd3TmS4 (PBE-GGA).

Summary:
Polymorph energy (0 for the lowest one) ... 4.7 meV/atom
Space group ... Cmmm
Calculated total energy ... -51.2 eV/cell
DOS(E_F) ... 4.6 states/eV/f.u.

a = 3.9612 Å, b = 6.9896 Å, c = 6.9896 Å
α = 108.78°, β = 90.00°, γ = 90.00°
Last column: nearest neighbours and their distance in Å.
Fractional coordinates of all 8 atoms:
S: 0.0000 0.7656 0.7656  2 Tm 2.75, 4 Nd 2.84-2.93
Nd: 0.0000 0.5000 0.0000  6 S 2.84
Nd: 0.5000 0.5000 0.5000  6 S 2.93
S: 0.5000 0.2421 0.7579  1 Tm 2.75, 5 Nd 2.84-2.93
Nd: 0.0000 0.0000 0.5000  6 S 2.84
S: 0.0000 0.2344 0.2344  2 Tm 2.75, 4 Nd 2.84-2.93
Tm: 0.5000 0.0000 0.0000  6 S 2.75
S: 0.5000 0.7579 0.2421  1 Tm 2.75, 5 Nd 2.84-2.93

***

Entry 4:
Entry from Alexandria via LeMat-Bulk: an optimized crystal structure of LiCe2ErTe4 (PBE-GGA).

Summary:
Space group ... P2/m
Calculated total energy ... -41.2 eV/cell
DOS(E_F) ... 16.3 states/eV/f.u.

a = 4.3881 Å, b = 7.6370 Å, c = 7.6374 Å
α = 70.73°, β = 90.00°, γ = 90.00°
Last column: nearest neighbours and their distance in Å.
Fractional coordinates of all 8 atoms:
Li: 0.5000 0.5000 0.0000  6 Te 3.01-3.02
Ce: 0.0000 0.0000 0.0000  6 Te 3.17-3.18
Er: 0.0000 0.5000 0.5000  6 Te 3.06
Ce: 0.5000 0.0000 0.5000  6 Te 3.21-3.22
Te: 0.0000 0.7305 0.7597  2 Li 3.02, 1 Er 3.06, 3 Ce 3.18-3.21
Te: 0.0000 0.2695 0.2403  2 Li 3.02, 1 Er 3.06, 3 Ce 3.18-3.21
Te: 0.5000 0.2675 0.7491  1 Li 3.01, 2 Er 3.06, 3 Ce 3.17-3.22
Te: 0.5000 0.7325 0.2509  1 Li 3.01, 2 Er 3.06, 3 Ce 3.17-3.22

***

Entry 5:
Entry from Alexandria via LeMat-Bulk: an optimized crystal structure of Ce2TcPdN5 (PBE-GGA).

Summary:
Space group ... Cmc2_1
Calculated total energy ... -147.2 eV/cell
DOS(E_F) ... 2.0 states/eV/f.u.

a = 3.3925 Å, b = 6.7030 Å, c = 10.2285 Å
α = 90.00°, β = 90.00°, γ = 104.66°
Last column: nearest neighbours and their distance in Å.
Fractional coordinates of all 18 atoms:
N: 0.3659 0.7319 0.9971  1 Tc 2.14, 1 Pd 2.15
N: 0.6341 0.2681 0.4971  1 Tc 2.14, 1 Pd 2.15
Pd: 0.4729 0.9458 0.4463  5 N 2.02-2.20
Ce: 0.8977 0.7954 0.1847  4 N 2.28-2.46
N: 0.5164 0.0327 0.2564  1 Pd 2.02
N: 0.7242 0.4484 0.1479  2 Tc 2.10, 1 Ce 2.28
Ce: 0.1023 0.2046 0.6847  4 N 2.28-2.46
N: 0.0661 0.1323 0.0734  1 Tc 1.83
Pd: 0.5271 0.0542 0.9463  5 N 2.02-2.20
Ce: 0.1524 0.3047 0.3110  3 N 2.27-2.51
N: 0.6808 0.3617 0.8768  1 Pd 2.12, 1 Ce 2.27, 2 Tc 2.33
N: 0.2758 0.5516 0.6479  2 Tc 2.10, 1 Ce 2.28
Tc: 0.7968 0.5935 0.5305  1 N 1.83
N: 0.4836 0.9673 0.7564  1 Pd 2.02
N: 0.9339 0.8677 0.5734  1 Tc 1.83
N: 0.3192 0.6383 0.3768  1 Pd 2.12, 1 Ce 2.27, 2 Tc 2.33
Ce: 0.8476 0.6953 0.8110  3 N 2.27-2.51
Tc: 0.2032 0.4065 0.0305  1 N 1.83

***

Entry 6:
Entry from Alexandria via LeMat-Bulk: an optimized crystal structure of LiCaPa2O6 (PBE-GGA).

Summary:
Space group ... P4mm
Calculated total energy ... -81.2 eV/cell
DOS(E_F) ... 5.1 states/eV/f.u.

a = 5.6225 Å, b = 5.1146 Å, c = 5.1146 Å
α = 90.00°, β = 90.00°, γ = 90.00°
Last column: nearest neighbours and their distance in Å.
Fractional coordinates of all 10 atoms:
O: 0.7613 0.7543 0.7543  1 Li 2.04, 2 Pa 2.18, 1 Ca 2.22
Ca: 0.5404 0.5000 0.5000  5 O 2.22
O: 0.7613 0.7543 0.2457  1 Li 2.04, 2 Pa 2.18, 1 Ca 2.22
O: 0.7613 0.2457 0.2457  1 Li 2.04, 2 Pa 2.18, 1 Ca 2.22
Pa: 0.9774 0.0000 0.5000  4 O 2.18
O: 0.7613 0.2457 0.7543  1 Li 2.04, 2 Pa 2.18, 1 Ca 2.22
Pa: 0.9774 0.5000 0.0000  4 O 2.18
O: 0.1792 0.0000 0.0000  1 Li 2.27
O: 0.1448 0.5000 0.5000  1 Ca 2.22
Li: 0.5824 0.0000 0.0000  5 O 2.04-2.27

***

Entry 7:
Entry from Alexandria via LeMat-Bulk: an optimized crystal structure of RbCr2ReSi (PBE-GGA).

Summary:
Space group ... P4/mmm
Calculated total energy ... -32.0 eV/cell
DOS(E_F) ... 2.9 states/eV/f.u.

a = 5.0160 Å, b = 4.6235 Å, c = 5.0160 Å
α = 90.00°, β = 90.00°, γ = 90.00°
Last column: nearest neighbours and their distance in Å.
Fractional coordinates of all 5 atoms:
Si: 0.0000 0.0000 0.0000  2 Re 2.31, 4 Cr 2.51
Rb: 0.5000 0.5000 0.5000  8 Cr 3.41, 4 Re 3.55
Cr: 0.5000 0.0000 0.0000  2 Si 2.51
Cr: 0.0000 0.0000 0.5000  2 Si 2.51
Re: 0.0000 0.5000 0.0000  2 Si 2.31

***

Entry 8:
Entry from Alexandria via LeMat-Bulk: an optimized crystal structure of Rb5Au2Cl2 (PBE-GGA).

Summary:
Space group ... C2/m
Calculated total energy ... -23.5 eV/cell
DOS(E_F) ... 4.1 states/eV/f.u.

a = 6.1209 Å, b = 9.1025 Å, c = 10.0593 Å
α = 124.80°, β = 90.00°, γ = 109.65°
Last column: nearest neighbours and their distance in Å.
Fractional coordinates of all 9 atoms:
Rb: 0.3610 0.7221 0.0790  3 Cl 3.23-3.38, 2 Au 3.50-3.54
Rb: 0.1368 0.2737 0.4954  2 Cl 3.31-3.44, 1 Au 3.49
Cl: 0.1139 0.2278 0.7996  6 Rb 3.23-3.56
Cl: 0.8861 0.7722 0.2004  6 Rb 3.23-3.56
Au: 0.3926 0.7851 0.7621  7 Rb 3.49-3.84, 1 Au 3.89
Rb: 0.0000 0.0000 0.0000  2 Cl 3.56, 4 Au 3.63
Au: 0.6074 0.2149 0.2379  7 Rb 3.49-3.84, 1 Au 3.89
Rb: 0.8632 0.7263 0.5046  2 Cl 3.31-3.44, 1 Au 3.49
Rb: 0.6390 0.2779 0.9210  3 Cl 3.23-3.38, 2 Au 3.50-3.54

***

Entry 9:
Entry from Alexandria via LeMat-Bulk: an optimized crystal structure of Na7SrHg4 (PBE-GGA).

Summary:
Space group ... C2/m
Calculated total energy ... -13.2 eV/cell
DOS(E_F) ... 6.0 states/eV/f.u.

a = 5.9447 Å, b = 9.4572 Å, c = 7.7123 Å
α = 78.75°, β = 67.33°, γ = 71.68°
Last column: nearest neighbours and their distance in Å.
Fractional coordinates of all 12 atoms:
Hg: 0.5663 0.2172 0.6502  3 Na 3.03-3.19, 1 Hg 3.05
Na: 0.9349 0.3912 0.7390  3 Hg 3.07-3.44, 1 Na 3.33
Na: 0.5000 0.0000 0.0000  2 Sr 2.97, 4 Hg 2.97-3.03
Na: 0.7829 0.8746 0.5597  4 Hg 3.19-3.46, 2 Na 3.33-3.42
Na: 0.0651 0.6088 0.2610  3 Hg 3.07-3.44, 1 Na 3.33
Na: 0.2171 0.1254 0.4403  4 Hg 3.19-3.46, 2 Na 3.33-3.42
Hg: 0.4337 0.7828 0.3498  3 Na 3.03-3.19, 1 Hg 3.05
Na: 0.6758 0.3905 0.2579  4 Hg 3.08-3.41
Na: 0.3242 0.6095 0.7421  4 Hg 3.08-3.41
Hg: 0.6857 0.6737 0.9550  4 Na 2.97-3.21, 1 Hg 3.05
Hg: 0.3143 0.3263 0.0450  4 Na 2.97-3.21, 1 Hg 3.05
Sr: 0.0000 0.0000 0.0000  2 Na 2.97

***

Entry 10:
Entry from Alexandria via LeMat-Bulk: an optimized crystal structure of Pu2ThCd (PBE-GGA).

Summary:
Polymorph energy (0 for the lowest one) ... 38.9 meV/atom
Space group ... P4/mmm
Calculated total energy ... -36.5 eV/cell
DOS(E_F) ... 15.9 states/eV/f.u.

a = 3.4332 Å, b = 3.4332 Å, c = 9.3580 Å
α = 90.00°, β = 90.00°, γ = 90.00°
Last column: nearest neighbours and their distance in Å.
Fractional coordinates of all 4 atoms:
Th: 0.5000 0.5000 0.5000  8 Pu 3.40, 4 Th 3.43
Pu: 0.0000 0.0000 0.7540  4 Cd 3.35, 4 Th 3.40, 4 Pu 3.43
Cd: 0.5000 0.5000 0.0000  8 Pu 3.35, 4 Cd 3.43
Pu: 0.0000 0.0000 0.2460  4 Cd 3.35, 4 Th 3.40, 4 Pu 3.43

***

Entry 11:
Entry from Alexandria via LeMat-Bulk: an optimized crystal structure of Ba3Ta2TiO9 (PBE-GGA).

Summary:
Space group ... P-3m1
Calculated total energy ... -126.5 eV/cell
DOS(E_F) ... 4.5 states/eV/f.u.

a = 5.8070 Å, b = 5.8070 Å, c = 7.1174 Å
α = 90.00°, β = 90.00°, γ = 120.00°
Last column: nearest neighbours and their distance in Å.
Fractional coordinates of all 15 atoms:
O: 0.5000 0.5000 0.0000  2 Ta 2.08
O: 0.1678 0.3355 0.3319  1 Ta 2.02, 1 Ti 2.07
Ba: 0.3333 0.6667 0.6629  12 O 2.89-2.93
O: 0.0000 0.5000 0.0000  2 Ta 2.08
Ta: 0.3333 0.6667 0.1722  6 O 2.02-2.08
O: 0.8322 0.6645 0.6681  1 Ta 2.02, 1 Ti 2.07
Ba: 0.6667 0.3333 0.3371  12 O 2.89-2.93
Ba: 0.0000 0.0000 0.0000  12 O 2.90
O: 0.8322 0.1678 0.6681  1 Ta 2.02, 1 Ti 2.07
O: 0.5000 0.0000 0.0000  2 Ta 2.08
O: 0.3355 0.1678 0.6681  1 Ta 2.02, 1 Ti 2.07
Ta: 0.6667 0.3333 0.8278  6 O 2.02-2.08
Ti: 0.0000 0.0000 0.5000  6 O 2.07
O: 0.6645 0.8322 0.3319  1 Ta 2.02, 1 Ti 2.07
O: 0.1678 0.8322 0.3319  1 Ta 2.02, 1 Ti 2.07

***

Entry 12:
Entry from Alexandria via LeMat-Bulk: an optimized crystal structure of Pa2AlWN6 (PBE-GGA).

Summary:
Space group ... P4mm
Calculated total energy ... -95.8 eV/cell
DOS(E_F) ... 6.3 states/eV/f.u.

a = 4.8200 Å, b = 5.2380 Å, c = 5.2380 Å
α = 90.00°, β = 90.00°, γ = 90.00°
Last column: nearest neighbours and their distance in Å.
Fractional coordinates of all 10 atoms:
N: 0.7254 0.2496 0.2496  1 Al 1.98, 1 W 1.98
Pa: 0.0000 0.5000 0.0000  4 N 2.28
N: 0.7254 0.7504 0.2496  1 Al 1.98, 1 W 1.98
Al: 0.5790 0.0000 0.0000  5 N 1.87-1.98
N: 0.7254 0.2496 0.7504  1 Al 1.98, 1 W 1.98
N: 0.1905 0.0000 0.0000  1 Al 1.87
N: 0.1960 0.5000 0.5000  1 W 1.85
N: 0.7254 0.7504 0.7504  1 Al 1.98, 1 W 1.98
W: 0.5797 0.5000 0.5000  5 N 1.85-1.98
Pa: 0.0000 0.0000 0.5000  4 N 2.28